VTe3Pd12: relaxed, PBE.

For the raw total energy, the calculation gives -83.842 eV per cell. The size of the total moment is 0.7 μB per formula unit. For the volume, the calculation gives 16.60 Å³ per atom.

Geometry as CIF:
```
data_VTe3Pd12
_chemical_formula_sum 'V1 Te3 Pd12'
_cell_length_a 4.007
_cell_length_b 4.007
_cell_length_c 16.549
_cell_angle_alpha 90.00
_cell_angle_beta 90.00
_cell_angle_gamma 90.00
_symmetry_space_group_name_H-M 'P 4/m m m'
_symmetry_Int_Tables_number 123
_symmetry_space_group_name_Hall '-P 4 2'
loop_
_atom_site_label
_atom_site_fract_x
_atom_site_fract_y
_atom_site_fract_z
_atom_site_occupancy
V1 0.000 0.000 0.000 1
Te1 0.000 0.000 0.249 1
Te2 0.000 0.000 0.500 1
Pd1 0.000 0.500 0.111 1
Pd2 0.000 0.500 0.370 1
Pd3 0.500 0.500 0.000 1
Pd4 0.500 0.500 0.237 1
Pd5 0.500 0.500 0.500 1
```

=====

VTe3Pd: relaxed, PBE.

For the raw total energy, the calculation gives -20.779 eV per cell. The size of the total moment is 2.9 μB per formula unit. For the volume, the calculation gives 29.20 Å³ per atom.

Geometry as CIF:
```
data_VTe3Pd
_chemical_formula_sum 'V1 Te3 Pd1'
_cell_length_a 5.266
_cell_length_b 5.266
_cell_length_c 5.266
_cell_angle_alpha 90.00
_cell_angle_beta 90.00
_cell_angle_gamma 90.00
_symmetry_space_group_name_H-M 'P m -3 m'
_symmetry_Int_Tables_number 221
_symmetry_space_group_name_Hall '-P 4 2 3'
loop_
_atom_site_label
_atom_site_fract_x
_atom_site_fract_y
_atom_site_fract_z
_atom_site_occupancy
V1 0.000 0.000 0.000 1
Te1 0.000 0.500 0.500 1
Pd1 0.500 0.500 0.500 1
```

=====

VTe4Pd: relaxed, PBE.

For the raw total energy, the calculation gives -28.570 eV per cell. The size of the total moment is 0.8 μB per formula unit. For the volume, the calculation gives 26.14 Å³ per atom.

Geometry as CIF:
```
data_VTe4Pd
_chemical_formula_sum 'V1 Te4 Pd1'
_cell_length_a 3.839
_cell_length_b 6.417
_cell_length_c 7.176
_cell_angle_alpha 67.82
_cell_angle_beta 74.59
_cell_angle_gamma 89.96
_symmetry_space_group_name_H-M 'P 1'
_symmetry_Int_Tables_number 1
loop_
_symmetry_equiv_pos_as_xyz
'x,y,z'
loop_
_atom_site_label
_atom_site_fract_x
_atom_site_fract_y
_atom_site_fract_z
_atom_site_occupancy
V1 0.000 0.000 0.000 1
Te1 0.096 0.470 0.807 1
Te2 0.391 0.126 0.218 1
Te3 0.639 0.022 0.720 1
Te4 0.847 0.612 0.310 1
Pd1 0.489 0.593 0.023 1
```